# Li2InAs meta-GGA SCAN PBEsol geometry
# Final energy   -119.97 eV for the cell shown
# Energy relative to the elements   -407 meV per atom
data_Li2InAs
_chemical_formula_sum 'Li4 In2 As2'
_cell_length_a 5.962
_cell_length_b 8.136
_cell_length_c 2.887
_cell_angle_alpha 90.00
_cell_angle_beta 90.00
_cell_angle_gamma 90.00
_symmetry_space_group_name_H-M 'C m m m'
_symmetry_Int_Tables_number 65
_symmetry_space_group_name_Hall '-C 2 2'
loop_
_atom_site_label
_atom_site_fract_x
_atom_site_fract_y
_atom_site_fract_z
_atom_site_occupancy
Li1 0.250 0.250 0.000 1
In1 0.000 0.000 0.500 1
As1 0.000 0.500 0.500 1